# 1
ZnHgPt, relaxed, DFT PBE; energy of formation = -0.1 eV/f.u.; space group = No. 38; energy above the most stable polymorph in this dataset = 104.6 meV/atom
1.0
13.926 0.000 0.000
0.000 1.484 2.562
0.000 -1.484 2.562
Zn Hg Pt
2 2 2
Cartesian
0.000 0.000 0.000
6.963 0.000 1.657
2.491 0.000 1.661
11.435 0.000 1.661
4.970 0.000 5.071
8.956 0.000 5.071

***

# 2
AcPm4Co, relaxed, DFT PBE; energy of formation = 0.2 eV/f.u.; space group = No. 63; energy above the most stable polymorph in this dataset = 12.2 meV/atom
1.0
2.864 -9.237 0.000
2.864 9.237 0.000
0.000 0.000 7.673
Ac Pm Co
2 8 2
Cartesian
2.864 7.235 5.755
2.864 -7.235 1.918
2.864 7.065 1.918
2.864 3.699 3.880
2.864 3.699 7.629
2.864 0.000 0.000
2.864 0.000 3.836
2.864 -3.699 0.044
2.864 -3.699 3.792
2.864 -7.065 5.755
2.864 1.806 5.755
2.864 -1.806 1.918

***

# 3
CoCuTcNi, relaxed, DFT PBE; energy of formation = 0.9 eV/f.u.; space group = No. 216
1.0
0.000 2.893 2.893
2.893 0.000 2.893
2.893 2.893 0.000
Co Cu Tc Ni
1 1 1 1
Cartesian
0.000 0.000 0.000
4.340 4.340 4.340
1.447 1.447 1.447
2.893 2.893 2.893